PrGa3Os, relaxed, DFT GGA-PBE; formation energy = -1.45 eV per formula unit; electronic total energy = -26.54 eV for the cell shown
1.0
4.782 0.000 0.000
0.000 4.782 0.000
0.000 0.000 4.782
Pr Os Ga
1 1 3
Direct
0.500 0.500 0.500
0.000 0.000 0.000
0.500 0.000 0.000
0.000 0.000 0.500
0.000 0.500 0.000



PmTlHgF6, relaxed, DFT GGA-PBE; raw formation energy = -2.6248 eV/atom; electronic total energy = -84.54 eV for the cell shown
1.0
8.589 0.000 0.000
0.000 8.151 0.000
-4.294 -4.076 6.280
F Hg Tl Pm
12 2 2 2
Direct
0.463 0.682 0.282
0.575 0.325 0.150
0.425 0.675 0.850
0.187 0.937 0.374
0.813 0.063 0.626
0.537 0.900 0.718
0.463 0.100 0.282
0.820 0.100 0.282
0.180 0.900 0.718
0.820 0.682 0.282
0.537 0.318 0.718
0.180 0.318 0.718
0.500 0.000 0.000
0.500 0.500 0.000
0.768 0.518 0.536
0.232 0.482 0.464
0.000 0.000 0.500
0.500 0.000 0.500



K2AgH6Ir, relaxed, DFT GGA-PBE; electronic total energy = -36.96 eV for the cell shown
1.0
5.380 0.000 0.000
0.000 5.702 0.000
0.000 -2.851 4.938
H Ag Ir K
6 1 1 2
Direct
0.828 0.713 0.856
0.172 0.287 0.144
0.172 0.856 0.713
0.828 0.144 0.287
0.172 0.856 0.144
0.828 0.144 0.856
0.500 0.000 0.000
0.000 0.000 0.000
0.216 0.333 0.667
0.784 0.667 0.333



HgSb2TeN, relaxed, DFT GGA-PBE; raw formation energy = 2.0112 eV/atom; relative energy among the computed polymorphs = 1.364 eV/atom; electronic total energy = -9.96 eV for the cell shown
1.0
5.526 0.000 0.000
0.000 5.526 0.000
0.000 0.000 5.578
N Te Sb Hg
1 1 2 1
Direct
0.500 0.500 0.500
0.000 0.000 0.500
0.000 0.500 0.000
0.500 0.000 0.000
0.000 0.000 0.000



MgCd2In, relaxed, DFT GGA-PBE; formation energy = -0.21 eV per formula unit; electronic total energy = -6.37 eV for the cell shown
1.0
4.470 0.000 0.000
0.000 4.467 0.000
0.000 0.000 4.557
Cd Mg In
2 1 1
Direct
0.500 0.500 0.000
0.000 0.000 0.000
0.000 0.500 0.500
0.500 0.000 0.500



Ga2Sn2Pd7, relaxed, DFT GGA-PBE; formation energy = -4.30 eV per formula unit; electronic total energy = -54.71 eV for the cell shown
1.0
-0.883 5.881 0.479
-1.859 -0.727 5.409
5.642 -0.056 1.939
Ga Sn Pd
2 2 7
Direct
0.720 0.001 0.280
0.280 0.999 0.720
0.811 0.500 0.811
0.189 0.500 0.189
0.000 0.000 0.000
0.000 0.253 0.501
0.501 0.747 0.000
0.000 0.747 0.499
0.499 0.253 0.000
0.500 0.263 0.500
0.500 0.737 0.500



Y3Ga2Os, relaxed, DFT GGA-PBE; formation energy = -2.87 eV per formula unit; electronic total energy = -158.19 eV for the cell shown
1.0
4.286 0.000 0.000
0.000 11.184 0.000
0.000 0.000 11.924
Y Os Ga
12 4 8
Direct
0.250 0.121 0.552
0.750 0.944 0.119
0.250 0.056 0.881
0.750 0.556 0.619
0.250 0.796 0.731
0.750 0.204 0.269
0.250 0.444 0.381
0.250 0.379 0.052
0.750 0.621 0.948
0.250 0.704 0.231
0.750 0.296 0.769
0.750 0.879 0.448
0.750 0.629 0.380
0.750 0.871 0.880
0.250 0.129 0.120
0.250 0.371 0.620
0.750 0.997 0.695
0.750 0.503 0.195
0.250 0.695 0.489
0.250 0.497 0.805
0.250 0.805 0.989
0.750 0.305 0.511
0.250 0.003 0.305
0.750 0.195 0.011



Li4AcRh2, relaxed, DFT GGA-PBE; formation energy = -1.71 eV per formula unit; electronic total energy = -28.18 eV for the cell shown
1.0
-3.722 -1.460 -1.348
1.573 -0.417 -3.891
1.339 -6.683 3.543
Li Rh Ac
4 2 1
Direct
0.500 0.189 0.378
0.500 0.811 0.622
0.000 0.683 0.365
0.000 0.317 0.635
0.500 0.412 0.825
0.500 0.588 0.175
0.000 0.000 0.000



Ho2Al3InPt4, relaxed, DFT GGA-PBE; formation energy = -10.06 eV per formula unit; electronic total energy = -57.34 eV for the cell shown
1.0
-0.231 2.996 -2.797
-4.092 -0.008 0.329
0.648 7.755 8.256
Al Pt Ho In
3 4 2 1
Direct
0.000 0.000 0.500
0.000 0.500 0.127
0.500 0.000 0.873
0.500 0.000 0.658
0.000 0.000 0.000
0.000 0.500 0.342
0.500 0.500 0.000
0.000 0.500 0.754
0.500 0.000 0.246
0.500 0.500 0.500



MnCr3Te8, relaxed, DFT GGA-PBE; raw formation energy = -0.2014 eV/atom; electronic total energy = -65.59 eV for the cell shown
1.0
7.599 -0.001 0.000
-3.800 5.344 -3.829
0.000 0.104 7.963
Te Mn Cr
8 1 3
Direct
0.249 0.499 0.758
0.249 0.999 0.760
0.249 0.001 0.240
0.751 0.501 0.760
0.249 0.499 0.240
0.751 0.999 0.760
0.751 0.001 0.240
0.751 0.501 0.242
0.000 0.000 0.000
0.500 0.000 0.000
0.500 0.500 0.000
0.000 0.500 0.000



ErTm2Pd, relaxed, DFT GGA-PBE; formation energy = -1.26 eV per formula unit; relative energy among the computed polymorphs = 0.181 eV/atom; electronic total energy = -19.96 eV for the cell shown
1.0
-2.974 2.105 -0.144
-1.697 0.543 -3.182
-7.018 -6.720 0.509
Pd Tm Er
1 2 1
Direct
0.666 0.666 0.001
0.066 0.066 0.802
0.267 0.267 0.200
0.501 0.501 0.497



MoRuPt, relaxed, DFT GGA-PBE; formation energy = 0.61 eV per formula unit; relative energy among the computed polymorphs = 0.381 eV/atom; electronic total energy = -102.16 eV for the cell shown
1.0
-3.022 -1.340 -2.821
3.928 -1.447 -3.520
0.761 -6.792 5.760
Mo Pt Ru
4 4 4
Direct
0.359 0.419 0.717
0.637 0.064 0.275
0.363 0.936 0.725
0.641 0.581 0.283
0.507 0.753 0.014
0.493 0.247 0.986
0.085 0.296 0.170
0.915 0.704 0.830
0.223 0.111 0.446
0.777 0.889 0.554
0.222 0.613 0.443
0.778 0.387 0.557



no.,N(E_F) (states/eV per atom)
1,0.29
2,0.00
3,0.00
4,2.03
5,0.23
6,0.34
7,0.85
8,0.37
9,0.56
10,0.42
11,1.17
12,1.06